VASP calculation (meta-GGA SCAN) on a PBEsol-optimized structure of Y2PIrRu.

The calculation puts the volume at 24.4 A^3/atom. As for the calculated density: 6.8 g cm⁻³. The formation enthalpy at 0 K is 0.114 eV/atom. The value obtained for the density of states at the Fermi level is 0.53 states/eV/atom.

It has space group P4/mmm (No. 123), with a = 5.196 Å, b = 5.196 Å, c = 4.523 Å, α = 90.00°, β = 90.00° and γ = 90.00°. The distinct sites, in fractional coordinates, are Y at (0.000, 0.500, 0.000), P at (0.000, 0.000, 0.500), Ir at (0.500, 0.500, 0.500) and Ru at (0.500, 0.500, 0.000).